Entry 1:
{
  "formula": "Zn2InCu",
  "functional": "GGA-PBE",
  "state": "optimized geometry",
  "formation_enthalpy_0k_mev_per_atom": 80,
  "lattice": [[2.8857, 0.0000, 0.0000], [0.0000, 3.7282, 0.0000], [0.0000, 0.0000, 6.2510]],
  "species": ["Cu", "In", "Zn", "Zn"],
  "fractional_positions": [[0.0000, 0.0000, 0.4572], [0.5000, 0.5000, 0.7368], [0.0000, 0.0000, 0.0406], [0.5000, 0.5000, 0.2655]]
}



Entry 2:
{
  "formula": "ZnInCu2",
  "functional": "GGA-PBE",
  "state": "optimized geometry",
  "formation_enthalpy_0k_mev_per_atom": 55,
  "lattice": [[4.0641, 0.0000, 0.0000], [0.0000, 4.0647, 0.0000], [0.0000, 0.0000, 3.6780]],
  "species": ["Cu", "Cu", "In", "Zn"],
  "fractional_positions": [[0.0000, 0.0000, 0.0000], [0.5000, 0.5000, 0.0000], [0.5000, 0.0000, 0.5000], [0.0000, 0.5000, 0.5000]]
}



Entry 3:
{
  "formula": "ZrIn3Cu",
  "functional": "GGA-PBE",
  "state": "optimized geometry",
  "formation_enthalpy_0k_mev_per_atom": 956,
  "lattice": [[5.6145, 0.0000, 0.0000], [0.0000, 5.6145, 0.0000], [0.0000, 0.0000, 5.6145]],
  "species": ["Cu", "Zr", "In", "In", "In"],
  "fractional_positions": [[0.5000, 0.5000, 0.5000], [0.0000, 0.0000, 0.0000], [0.0000, 0.5000, 0.0000], [0.0000, 0.0000, 0.5000], [0.5000, 0.0000, 0.0000]]
}